Here is a relaxed structure of SrPr2Ho from Alexandria. Energies are from GGA-PBE.

The total energy is -0.2760 Ry/atom. Its calculated formation energy is 0.200 eV per atom. The energy above the most stable polymorph in this dataset is 111 meV/atom.

The space group is Fm-3m (No. 225) and the conventional cell measures 8.465, 8.465 and 8.465 Å, with angles of 90.00, 90.00 and 90.00 degrees. Symmetry generates all atoms from Sr at (0.000, 0.000, 0.000), Pr at (0.250, 0.250, 0.250) and Ho at (0.000, 0.000, 0.500).